Below is a geometry-optimized Rb2GaBiCl6 structure, with properties calculated at the PBE level.

The structure belongs to space group R3 (No. 146, hexagonal axes); the cell edges are 7.8550, 7.8550 and 19.2811 Å and the angles 90.00°, 90.00° and 120.00°. Symmetry generates all atoms from Rb at (0.0000, 0.0000, 0.0000), Rb at (0.0000, 0.0000, 0.4966), Ga at (0.0000, 0.0000, 0.2684), Bi at (0.0000, 0.0000, 0.7717), Cl at (0.0226, 0.5893, 0.5234) and Cl at (0.0941, 0.3404, 0.3612).

For the density of states at the Fermi level, the calculation gives 0.00 states/eV/cell. The calculation puts the formation energy from raw total energies at -1.37 eV/atom. The final energy comes out at -3.36 eV per atom. The value obtained for the total magnetization is 0.0000 μB per atom.



Below is a geometry-optimized TbSm2Mg structure, with properties calculated at the PBE level.

The structure belongs to space group Fm-3m (No. 225); the cell edges are 7.887, 7.887 and 7.887 Å and the angles 90.00°, 90.00° and 90.00°. Symmetry generates all atoms from Tb at (0.000, 0.000, 0.000), Sm at (0.250, 0.250, 0.250) and Mg at (0.000, 0.000, 0.500).

For the density of states at the Fermi level, the calculation gives 22.36 states/eV/cell. The final energy comes out at -3.88 eV per atom. The value obtained for the total magnetization is 0.0001 μB per atom.



Below is a geometry-optimized YRhW2 structure, with properties calculated at the PBE level.

The structure belongs to space group Fm-3m (No. 225); the cell edges are 6.526, 6.526 and 6.526 Å and the angles 90.00°, 90.00° and 90.00°. Symmetry generates all atoms from Y at (0.000, 0.000, 0.000), Rh at (0.000, 0.000, 0.500) and W at (0.250, 0.250, 0.250).

For the density of states at the Fermi level, the calculation gives 20.94 states/eV/cell. The final energy comes out at -9.30 eV per atom. The value obtained for the total magnetization is 0.0000 μB per atom.



Below is a geometry-optimized TmThZr2 structure, with properties calculated at the PBE level.

The structure belongs to space group P-1 (No. 2); the cell edges are 3.359, 5.921 and 11.009 Å and the angles 83.39°, 81.39° and 89.94°. Symmetry generates all atoms from Tm at (0.132, 0.380, 0.236), Th at (0.000, 0.000, 0.500), Th at (0.500, 0.500, 0.500), Zr at (0.248, 0.774, 0.006) and Zr at (0.369, 0.115, 0.758).

For the density of states at the Fermi level, the calculation gives 11.35 states/eV/cell. The final energy comes out at -7.14 eV per atom. The value obtained for the total magnetization is 0.0000 μB per atom.



Below is a geometry-optimized TbScTi structure, with properties calculated at the PBE level.

The structure belongs to space group P-6m2 (No. 187); the cell edges are 5.1062, 5.1062 and 3.2145 Å and the angles 90.00°, 90.00° and 120.00°. Symmetry generates all atoms from Tb at (0.0000, 0.0000, 0.0000), Sc at (0.3333, 0.6667, 0.5000) and Ti at (0.6667, 0.3333, 0.5000).

For the density of states at the Fermi level, the calculation gives 4.28 states/eV/cell. The final energy comes out at -6.10 eV per atom. The value obtained for the total magnetization is 0.4270 μB per atom.



Below is a geometry-optimized LiMnHgSe2 structure, with properties calculated at the PBE level.

The structure belongs to space group P4/mmm (No. 123); the cell edges are 4.625, 4.625 and 4.539 Å and the angles 90.00°, 90.00° and 90.00°. Symmetry generates all atoms from Li at (0.000, 0.000, 0.000), Mn at (0.000, 0.000, 0.500), Hg at (0.500, 0.500, 0.500) and Se at (0.000, 0.500, 0.000).

For the density of states at the Fermi level, the calculation gives 4.31 states/eV/cell. The calculation puts the formation energy from raw total energies at 0.77 eV/atom. The final energy comes out at -2.90 eV per atom. The value obtained for the total magnetization is 0.0284 μB per atom.



Below is a geometry-optimized NpTc3C structure, with properties calculated at the PBE level.

The structure belongs to space group Pm-3m (No. 221); the cell edges are 4.172, 4.172 and 4.172 Å and the angles 90.00°, 90.00° and 90.00°. Symmetry generates all atoms from Np at (0.000, 0.000, 0.000), Tc at (0.000, 0.500, 0.500) and C at (0.500, 0.500, 0.500).

For the density of states at the Fermi level, the calculation gives 7.10 states/eV/cell. The final energy comes out at -10.65 eV per atom. The value obtained for the total magnetization is 0.2571 μB per atom.



Below is a geometry-optimized SrCa2Mg structure, with properties calculated at the PBE level.

The structure belongs to space group C2/m (No. 12); the cell edges are 7.371, 12.409 and 3.772 Å and the angles 90.00°, 113.86° and 90.00°. Symmetry generates all atoms from Sr at (0.000, 0.000, 0.000), Ca at (0.250, 0.250, 0.500) and Mg at (0.000, 0.500, 0.000).

For the density of states at the Fermi level, the calculation gives 7.30 states/eV/cell. The final energy comes out at -1.76 eV per atom. The value obtained for the total magnetization is 0.0000 μB per atom.